An optimized crystal structure of PmNd3Pb4, computed with GGA-PBE.

The space group is C2/m (No. 12) and the conventional cell measures 19.000, 5.128 and 5.130 Å, with angles of 90.00, 105.55 and 90.00 degrees. The distinct sites, in fractional coordinates, are Pm at (0.000, 0.000, 0.000), Nd at (0.000, 0.500, 0.500), Nd at (0.250, 0.000, 0.250), Pb at (0.125, 0.000, 0.625) and Pb at (0.125, 0.500, 0.125).

The calculation puts the excess energy over the best structure of this formula in the dataset at 0.000 eV/atom. The total magnetic moment comes out at 0.003 μB per atom. The value obtained for the formation energy is -511 meV per atom.

=====

An optimized crystal structure of Nd2MgIr9, computed with GGA-PBE.

The space group is R-3m (No. 166, hexagonal axes) and the conventional cell measures 5.3123, 5.3123 and 26.6929 Å, with angles of 90.00, 90.00 and 120.00 degrees. The distinct sites, in fractional coordinates, are Nd at (0.0000, 0.0000, 0.1375), Mg at (0.0000, 0.0000, 0.0000), Ir at (0.0000, 0.0000, 0.3324), Ir at (0.0000, 0.0000, 0.5000) and Ir at (0.0025, 0.5012, 0.0806).

The total magnetic moment comes out at 0.000 μB per atom. The value obtained for the formation energy is -307 meV per atom.